CaTbZnSi | PBE | optimized geometry

Results
As for the size of the total moment: 0.00 μB per formula unit. For the calculated volume, the calculation gives 22.65 Å³/atom. The calculation puts the electronic total energy at -3.70 eV per atom. The space group is F-43m, No. 216. As for the density: 5360 kg/m3.

a = 5.042 Å, b = 5.042 Å, c = 5.042 Å
α = 60.00°, β = 60.00°, γ = 60.00°
Sites, in units of the cell vectors:
Ca1 0.000 0.000 0.000
Tb1 0.500 0.500 0.500
Zn1 0.250 0.250 0.250
Si1 0.750 0.750 0.750